No. 1
The following is a DFT calculation (PBE) of an optimized crystal structure of Gd3HoSn2C2.

Properties
DFT total energy = -49.01 eV/cell

Structure (CIF):
```
data_Gd3HoSn2C2
_chemical_formula_sum 'Gd3 Ho1 Sn2 C2'
_symmetry_space_group_name_H-M 'P 3 m 1'
_symmetry_Int_Tables_number 156
_cell_length_a 3.6447
_cell_length_b 3.6447
_cell_length_c 16.0346
_cell_angle_alpha 90.00
_cell_angle_beta 90.00
_cell_angle_gamma 120.00
loop_
_symmetry_equiv_pos_as_xyz
'x,y,z'
'-y,x-y,z'
'-x+y,-x,z'
'-y,-x,z'
'-x+y,y,z'
'x,x-y,z'
loop_
_atom_site_label
_atom_site_fract_x
_atom_site_fract_y
_atom_site_fract_z
Gd1 0.0000 0.0000 0.0000
Gd2 0.0000 0.0000 0.3310
Gd3 0.6667 0.3333 0.8291
Ho1 0.6667 0.3333 0.4993
Sn1 0.0000 0.0000 0.6626
Sn2 0.6667 0.3333 0.1654
C1 0.3333 0.6667 0.4167
C2 0.3333 0.6667 0.9144
```



No. 2
The following is a DFT calculation (PBE) of an optimized crystal structure of Al5Re7.

Properties
DFT total energy = -206.19 eV/cell
E above lowest polymorph = 0.120 eV per atom

Structure (CIF):
```
data_Al5Re7
_chemical_formula_sum 'Al10 Re14'
_symmetry_space_group_name_H-M 'P 63/m m c'
_symmetry_Int_Tables_number 194
_symmetry_space_group_name_Hall '-P 6c 2c'
_cell_length_a 5.0830
_cell_length_b 5.0830
_cell_length_c 16.0025
_cell_angle_alpha 90.00
_cell_angle_beta 90.00
_cell_angle_gamma 120.00
loop_
_atom_site_label
_atom_site_fract_x
_atom_site_fract_y
_atom_site_fract_z
Al1 0.0000 0.5000 0.0000
Al2 0.3333 0.6667 0.1236
Re1 0.0000 0.0000 0.0994
Re2 0.1624 0.3248 0.2500
Re3 0.3333 0.6667 0.6625
```



Q: DFT total energy of number 1 (Gd3HoSn2C2)?
A: -49.01 eV/cell